This record from Alexandria via LeMat-Bulk describes a geometry-optimized Th8Ge3SbAs4 structure. The functional is PBE.

- Magnetization: 0.0 μB per cell
- N(E_F): 0.602 states/eV/atom
- Uncorrected formation energy: -1.10 eV/atom

abc: 8.632 8.603 8.632
angles: 120.11 120.00 90.00
Fractional positions:
As: 0.500 0.000 0.500
Th: 0.251 0.253 0.502
Th: 0.749 0.747 0.498
Th: 0.743 0.245 0.487
As: 0.000 0.000 0.500
Th: 0.257 0.755 0.513
Th: 0.741 0.755 0.998
Th: 0.743 0.245 0.002
As: 0.000 0.000 0.000
Sb: 0.000 0.500 0.000
Th: 0.259 0.245 0.002
Ge: 0.500 0.500 0.000
Ge: 0.500 0.500 0.500
As: 0.500 0.000 0.000
Ge: 0.000 0.500 0.500
Th: 0.257 0.755 0.998

***

This record from Alexandria via LeMat-Bulk describes a geometry-optimized AgBiPdPb2 structure. The functional is PBE.

- DFT formation energy: 266 meV/atom
- Magnetization: 0.0 μB per cell
- N(E_F): 0.476 states/eV/atom

abc: 5.334 5.437 5.334
angles: 90.00 90.00 90.00
Fractional positions:
Pb: 0.500 0.000 0.000
Pb: 0.000 0.000 0.500
Pd: 0.000 0.000 0.000
Bi: 0.000 0.500 0.000
Ag: 0.500 0.500 0.500

***

Let's list volume in order: 452.5; 154.7 Å³/cell.